The following is a PBE calculation of a relaxed structure of CsTaTlO4, from the Alexandria database.

a = 6.5025 Å, b = 6.5025 Å, c = 6.5025 Å
α = 120.73°, β = 120.73°, γ = 88.74°
Atoms (fractional coordinates):
Cs1 0.0000 0.0000 0.0000
Ta1 0.2500 0.7500 0.5000
Tl1 0.5000 0.5000 0.0000
O1 0.2453 0.6523 0.1720
O2 0.3477 0.5197 0.5930
O3 0.4803 0.0733 0.8280
O4 0.9267 0.7547 0.4070

Computed properties:
* formation energy without anion corrections: -1.8870 eV per atom
* space group: I-4